No. 1
This record from Alexandria describes a PBEsol-optimized structure of Fe2CoW. The functional is meta-GGA SCAN.

* VASP energy: -122.8 eV for the cell shown
* formation energy from the elements: 10.9 kJ per mole of atoms
* E above lowest polymorph: 86 meV/atom
* total moment: 1.522 μB/atom
* crystal system: cubic

Lattice parameters (Å, degrees): 4.0464 4.0464 4.0464 60.00 60.00 60.00
Positions (direct):
1 Co 0.0000 0.0000 0.0000
2 Fe 0.7500 0.7500 0.7500
3 Fe 0.2500 0.2500 0.2500
4 W 0.5000 0.5000 0.5000

No. 2
This record from Alexandria describes a PBEsol-optimized structure of Mg2AlAs. The functional is meta-GGA SCAN.

* VASP energy: -38.2 eV for the cell shown
* formation energy from the elements: -7.8 kJ per mole of atoms
* E above lowest polymorph: 61 meV/atom
* total moment: 0.001 μB/atom
* crystal system: monoclinic

Lattice parameters (Å, degrees): 3.0868 4.5410 5.6842 90.00 104.87 90.00
Positions (direct):
1 Mg 0.0350 0.0000 0.9540
2 Mg 0.7113 0.5000 0.2916
3 As 0.4482 0.5000 0.7740
4 Al 0.3055 0.0000 0.4804

No. 3
This record from Alexandria describes a PBEsol-optimized structure of TiOs3I. The functional is meta-GGA SCAN.

* VASP energy: -257.1 eV for the cell shown
* uncorrected formation energy: 2.270 eV per atom
* total moment: 0.000 μB/atom
* crystal system: cubic

Lattice parameters (Å, degrees): 4.5798 4.5798 4.5798 90.00 90.00 90.00
Positions (direct):
1 I 0.5000 0.5000 0.5000
2 Os 0.0000 0.5000 0.0000
3 Os 0.0000 0.0000 0.5000
4 Os 0.5000 0.0000 0.0000
5 Ti 0.0000 0.0000 0.0000